Here is an optimized crystal structure of CrRuF2 from Alexandria. Energies are from GGA+U.

Cell lengths 6.148, 6.148, 6.148 Å; angles 130.05, 130.05, 73.33 degrees
Fractional coordinates of all 8 atoms:
Cr  0.000  0.000  0.000
Cr  0.750  0.250  0.500
Ru  0.250  0.750  0.500
Ru  0.500  0.500  0.000
F  0.065  0.625  0.940
F  0.375  0.315  0.440
F  0.685  0.125  0.060
F  0.875  0.935  0.560

## Properties
Space-group type   I-42d (122)
E   -40.918 eV per cell
Total magnetization   0.9 Bohr magnetons per cell
Volume   66.5 Å³/f.u.
Mass density   4.77 Mg/m³